# 1
# PBE-GGA K2LiMn, optimized geometry
data_K2LiMn
_cell_length_a 6.5640
_cell_length_b 6.5640
_cell_length_c 3.7929
_cell_angle_alpha 90.08
_cell_angle_beta 90.08
_cell_angle_gamma 106.62
_space_group_name_H-M_alt 'P 1'
_space_group_IT_number 1
loop_
_space_group_symop_operation_xyz
'x,y,z'
loop_
_atom_site_label
_atom_site_fract_x
_atom_site_fract_y
_atom_site_fract_z
_atom_site_occupancy
K1 0.0000 0.0000 0.0000 1
K2 0.5000 0.5000 0.0000 1
Li1 0.5000 0.0000 0.5000 1
Mn1 0.0000 0.5000 0.5000 1
# E_tot ... -2.632 eV per atom
# E above lowest polymorph ... 153.1 meV per atom
# Space group ... No. 12
# Theoretical density ... 1.5 g/cm3
# V ... 39.15 Å³/atom



# 2
# PBE-GGA NaLiVBr6, optimized geometry
data_NaLiVBr6
_cell_length_a 6.4409
_cell_length_b 6.7642
_cell_length_c 6.7642
_cell_angle_alpha 120.00
_cell_angle_beta 90.00
_cell_angle_gamma 90.00
_space_group_name_H-M_alt 'P 1'
_space_group_IT_number 1
loop_
_space_group_symop_operation_xyz
'x,y,z'
loop_
_atom_site_label
_atom_site_fract_x
_atom_site_fract_y
_atom_site_fract_z
_atom_site_occupancy
Na1 0.0000 0.3333 0.6667 1
Li1 0.5000 0.6667 0.3333 1
V1 0.5000 0.0000 0.0000 1
Br1 0.7244 0.7080 0.6895 1
Br2 0.7244 0.3105 0.0185 1
Br3 0.7244 0.9815 0.2920 1
Br4 0.2756 0.3105 0.2920 1
Br5 0.2756 0.7080 0.0185 1
Br6 0.2756 0.9815 0.6895 1
# E_tot ... -3.552 eV per atom
# Space group ... No. 149
# Theoretical density ... 3.6 g/cm3
# V ... 28.36 Å³/atom



# 3
# PBE-GGA LiBeCdCu2, optimized geometry
data_LiBeCdCu2
_cell_length_a 4.8736
_cell_length_b 4.5002
_cell_length_c 4.8736
_cell_angle_alpha 90.00
_cell_angle_beta 90.00
_cell_angle_gamma 90.00
_space_group_name_H-M_alt 'P 1'
_space_group_IT_number 1
loop_
_space_group_symop_operation_xyz
'x,y,z'
loop_
_atom_site_label
_atom_site_fract_x
_atom_site_fract_y
_atom_site_fract_z
_atom_site_occupancy
Be1 0.0000 0.5000 0.0000 1
Li1 0.5000 0.5000 0.5000 1
Cu1 0.0000 0.0000 0.5000 1
Cu2 0.5000 0.0000 0.0000 1
Cd1 0.0000 0.0000 0.0000 1
# E_tot ... -2.156 eV per atom
# Space group ... No. 123
# Theoretical density ... 4.0 g/cm3
# V ... 21.38 Å³/atom



# 4
# PBE-GGA Tb3Dy2Al2, optimized geometry
data_Tb3Dy2Al2
_cell_length_a 5.2775
_cell_length_b 5.2764
_cell_length_c 8.4066
_cell_angle_alpha 108.33
_cell_angle_beta 89.96
_cell_angle_gamma 120.04
_space_group_name_H-M_alt 'P 1'
_space_group_IT_number 1
loop_
_space_group_symop_operation_xyz
'x,y,z'
loop_
_atom_site_label
_atom_site_fract_x
_atom_site_fract_y
_atom_site_fract_z
_atom_site_occupancy
Tb1 0.5000 0.0000 0.0000 1
Tb2 0.6533 0.3067 0.4600 1
Tb3 0.3467 0.6933 0.5400 1
Dy1 0.9178 0.8352 0.2532 1
Dy2 0.0822 0.1648 0.7468 1
Al1 0.7824 0.5649 0.8471 1
Al2 0.2176 0.4351 0.1529 1
# E_tot ... -4.570 eV per atom
# E above lowest polymorph ... 13.9 meV per atom
# Space group ... No. 2
# Theoretical density ... 7.5 g/cm3
# V ... 26.98 Å³/atom



# 5
# PBE-GGA Hf5ZnAs2, optimized geometry
data_Hf5ZnAs2
_cell_length_a 5.1907
_cell_length_b 5.7990
_cell_length_c 12.2688
_cell_angle_alpha 90.00
_cell_angle_beta 90.00
_cell_angle_gamma 116.59
_space_group_name_H-M_alt 'P 1'
_space_group_IT_number 1
loop_
_space_group_symop_operation_xyz
'x,y,z'
loop_
_atom_site_label
_atom_site_fract_x
_atom_site_fract_y
_atom_site_fract_z
_atom_site_occupancy
Hf1 0.9239 0.8478 0.8857 1
Hf2 0.9239 0.8478 0.6143 1
Hf3 0.3774 0.7547 0.4574 1
Hf4 0.3774 0.7547 0.0426 1
Hf5 0.6020 0.2041 0.2500 1
Hf6 0.3980 0.7959 0.7500 1
Hf7 0.6226 0.2453 0.5426 1
Hf8 0.6226 0.2453 0.9574 1
Hf9 0.0761 0.1522 0.1143 1
Hf10 0.0761 0.1522 0.3857 1
Zn1 0.6997 0.3995 0.7500 1
Zn2 0.3003 0.6005 0.2500 1
As1 0.8168 0.6336 0.3955 1
As2 0.8168 0.6336 0.1045 1
As3 0.1832 0.3664 0.6045 1
As4 0.1832 0.3664 0.8955 1
# E_tot ... -7.784 eV per atom
# Space group ... No. 63
# Theoretical density ... 11.1 g/cm3
# V ... 20.64 Å³/atom



# 6
# PBE-GGA Li3BrF, optimized geometry
data_Li3BrF
_cell_length_a 4.3254
_cell_length_b 4.3254
_cell_length_c 4.3254
_cell_angle_alpha 90.00
_cell_angle_beta 90.00
_cell_angle_gamma 90.00
_space_group_name_H-M_alt 'P 1'
_space_group_IT_number 1
loop_
_space_group_symop_operation_xyz
'x,y,z'
loop_
_atom_site_label
_atom_site_fract_x
_atom_site_fract_y
_atom_site_fract_z
_atom_site_occupancy
Li1 0.0000 0.5000 0.0000 1
Li2 0.0000 0.0000 0.5000 1
Li3 0.5000 0.0000 0.0000 1
Br1 0.5000 0.5000 0.5000 1
F1 0.0000 0.0000 0.0000 1
# E_tot ... -3.312 eV per atom
# E above lowest polymorph ... 0.0 meV per atom
# Space group ... No. 221
# Theoretical density ... 2.5 g/cm3
# V ... 16.18 Å³/atom



# 7
# PBE-GGA Nd3EuCl, optimized geometry
data_Nd3EuCl
_cell_length_a 5.5389
_cell_length_b 5.5389
_cell_length_c 5.5389
_cell_angle_alpha 90.00
_cell_angle_beta 90.00
_cell_angle_gamma 90.00
_space_group_name_H-M_alt 'P 1'
_space_group_IT_number 1
loop_
_space_group_symop_operation_xyz
'x,y,z'
loop_
_atom_site_label
_atom_site_fract_x
_atom_site_fract_y
_atom_site_fract_z
_atom_site_occupancy
Eu1 0.5000 0.5000 0.5000 1
Nd1 0.0000 0.5000 0.0000 1
Nd2 0.0000 0.0000 0.5000 1
Nd3 0.5000 0.0000 0.0000 1
Cl1 0.0000 0.0000 0.0000 1
# E_tot ... -5.771 eV per atom
# Space group ... No. 221
# Theoretical density ... 6.1 g/cm3
# V ... 33.99 Å³/atom



# 8
# PBE-GGA Zn15AgAu4, optimized geometry
data_Zn15AgAu4
_cell_length_a 4.0061
_cell_length_b 4.0061
_cell_length_c 19.3393
_cell_angle_alpha 90.00
_cell_angle_beta 90.00
_cell_angle_gamma 90.00
_space_group_name_H-M_alt 'P 1'
_space_group_IT_number 1
loop_
_space_group_symop_operation_xyz
'x,y,z'
loop_
_atom_site_label
_atom_site_fract_x
_atom_site_fract_y
_atom_site_fract_z
_atom_site_occupancy
Zn1 0.5000 0.5000 0.0000 1
Zn2 0.5000 0.5000 0.2010 1
Zn3 0.5000 0.5000 0.3997 1
Zn4 0.5000 0.5000 0.6003 1
Zn5 0.5000 0.5000 0.7990 1
Zn6 0.5000 0.0000 0.1002 1
Zn7 0.5000 0.0000 0.3000 1
Zn8 0.5000 0.0000 0.5000 1
Zn9 0.5000 0.0000 0.7000 1
Zn10 0.5000 0.0000 0.8998 1
Zn11 0.0000 0.5000 0.1002 1
Zn12 0.0000 0.5000 0.3000 1
Zn13 0.0000 0.5000 0.5000 1
Zn14 0.0000 0.5000 0.7000 1
Zn15 0.0000 0.5000 0.8998 1
Ag1 0.0000 0.0000 0.0000 1
Au1 0.0000 0.0000 0.1991 1
Au2 0.0000 0.0000 0.4001 1
Au3 0.0000 0.0000 0.5999 1
Au4 0.0000 0.0000 0.8009 1
# E_tot ... -1.835 eV per atom
# Space group ... No. 123
# Theoretical density ... 10.0 g/cm3
# V ... 15.52 Å³/atom



# 9
# PBE-GGA CaPrAgAu, optimized geometry
data_CaPrAgAu
_cell_length_a 5.2426
_cell_length_b 5.2426
_cell_length_c 5.2426
_cell_angle_alpha 60.00
_cell_angle_beta 60.00
_cell_angle_gamma 60.00
_space_group_name_H-M_alt 'P 1'
_space_group_IT_number 1
loop_
_space_group_symop_operation_xyz
'x,y,z'
loop_
_atom_site_label
_atom_site_fract_x
_atom_site_fract_y
_atom_site_fract_z
_atom_site_occupancy
Pr1 0.0000 0.0000 0.0000 1
Ca1 0.5000 0.5000 0.5000 1
Au1 0.7500 0.7500 0.7500 1
Ag1 0.2500 0.2500 0.2500 1
# E_tot ... -3.787 eV per atom
# Space group ... No. 216
# Theoretical density ... 7.9 g/cm3
# V ... 25.47 Å³/atom



# 10
# PBE-GGA ReBiSCl2, optimized geometry
data_ReBiSCl2
_cell_length_a 4.9334
_cell_length_b 4.9334
_cell_length_c 4.5462
_cell_angle_alpha 90.00
_cell_angle_beta 90.00
_cell_angle_gamma 90.00
_space_group_name_H-M_alt 'P 1'
_space_group_IT_number 1
loop_
_space_group_symop_operation_xyz
'x,y,z'
loop_
_atom_site_label
_atom_site_fract_x
_atom_site_fract_y
_atom_site_fract_z
_atom_site_occupancy
Re1 0.0000 0.0000 0.0000 1
S1 0.0000 0.0000 0.5000 1
Bi1 0.5000 0.5000 0.5000 1
Cl1 0.0000 0.5000 0.0000 1
Cl2 0.5000 0.0000 0.0000 1
# E_tot ... -4.511 eV per atom
# E above lowest polymorph ... 0.0 meV per atom
# Space group ... No. 123
# Theoretical density ... 7.5 g/cm3
# V ... 22.13 Å³/atom



# 11
# PBE-GGA NaGa5Pd2, optimized geometry
data_NaGa5Pd2
_cell_length_a 3.7992
_cell_length_b 6.6602
_cell_length_c 6.6602
_cell_angle_alpha 70.15
_cell_angle_beta 73.43
_cell_angle_gamma 73.43
_space_group_name_H-M_alt 'P 1'
_space_group_IT_number 1
loop_
_space_group_symop_operation_xyz
'x,y,z'
loop_
_atom_site_label
_atom_site_fract_x
_atom_site_fract_y
_atom_site_fract_z
_atom_site_occupancy
Na1 0.0000 0.0000 0.0000 1
Ga1 0.0000 0.5000 0.5000 1
Ga2 0.6418 0.5605 0.1560 1
Ga3 0.3582 0.4395 0.8440 1
Ga4 0.3582 0.8440 0.4395 1
Ga5 0.6418 0.1560 0.5605 1
Pd1 0.7563 0.7437 0.7437 1
Pd2 0.2437 0.2563 0.2563 1
# E_tot ... -3.702 eV per atom
# Space group ... No. 71
# Theoretical density ... 6.5 g/cm3
# V ... 18.57 Å³/atom



# 12
# PBE-GGA BeIrPb2, optimized geometry
data_BeIrPb2
_cell_length_a 7.5232
_cell_length_b 7.5232
_cell_length_c 6.1178
_cell_angle_alpha 52.06
_cell_angle_beta 52.06
_cell_angle_gamma 90.00
_space_group_name_H-M_alt 'P 1'
_space_group_IT_number 1
loop_
_space_group_symop_operation_xyz
'x,y,z'
loop_
_atom_site_label
_atom_site_fract_x
_atom_site_fract_y
_atom_site_fract_z
_atom_site_occupancy
Pb1 0.6169 0.1250 0.2500 1
Pb2 0.1331 0.6250 0.2500 1
Pb3 0.3750 0.3831 0.7500 1
Pb4 0.8750 0.8669 0.7500 1
Be1 0.5000 0.5000 0.0000 1
Be2 0.2500 0.7500 0.5000 1
Ir1 0.0000 0.0000 0.0000 1
Ir2 0.7500 0.2500 0.5000 1
# E_tot ... -4.202 eV per atom
# Space group ... No. 122
# Theoretical density ... 12.0 g/cm3
# V ... 21.38 Å³/atom



# 13
# PBE-GGA Tb2Pr4SmY2, optimized geometry
data_Tb2Pr4SmY2
_cell_length_a 5.1433
_cell_length_b 8.1508
_cell_length_c 8.1298
_cell_angle_alpha 107.41
_cell_angle_beta 90.00
_cell_angle_gamma 108.39
_space_group_name_H-M_alt 'P 1'
_space_group_IT_number 1
loop_
_space_group_symop_operation_xyz
'x,y,z'
loop_
_atom_site_label
_atom_site_fract_x
_atom_site_fract_y
_atom_site_fract_z
_atom_site_occupancy
Tb1 0.8890 0.7780 0.3319 1
Tb2 0.1110 0.2220 0.6681 1
Pr1 0.7770 0.5540 0.6671 1
Pr2 0.2230 0.4460 0.3329 1
Pr3 0.5540 0.1081 0.3321 1
Pr4 0.4460 0.8919 0.6679 1
Sm1 0.0000 0.0000 0.0000 1
Y1 0.3325 0.6650 0.0007 1
Y2 0.6675 0.3350 0.9993 1
# E_tot ... -5.097 eV per atom
# Space group ... No. 12
# Theoretical density ... 6.5 g/cm3
# V ... 34.10 Å³/atom



# 14
# PBE-GGA Tl2BiB, optimized geometry
data_Tl2BiB
_cell_length_a 6.5558
_cell_length_b 6.5558
_cell_length_c 7.0880
_cell_angle_alpha 62.45
_cell_angle_beta 62.45
_cell_angle_gamma 90.00
_space_group_name_H-M_alt 'P 1'
_space_group_IT_number 1
loop_
_space_group_symop_operation_xyz
'x,y,z'
loop_
_atom_site_label
_atom_site_fract_x
_atom_site_fract_y
_atom_site_fract_z
_atom_site_occupancy
Tl1 0.5109 0.1250 0.2500 1
Tl2 0.2391 0.6250 0.2500 1
Tl3 0.3750 0.4891 0.7500 1
Tl4 0.8750 0.7609 0.7500 1
B1 0.5000 0.5000 0.0000 1
B2 0.2500 0.7500 0.5000 1
Bi1 0.0000 0.0000 0.0000 1
Bi2 0.7500 0.2500 0.5000 1
# E_tot ... -3.054 eV per atom
# E above lowest polymorph ... 0.0 meV per atom
# Space group ... No. 122
# Theoretical density ... 9.1 g/cm3
# V ... 28.81 Å³/atom



# 15
# PBE-GGA PmCo2Ir, optimized geometry
data_PmCo2Ir
_cell_length_a 4.1859
_cell_length_b 4.1859
_cell_length_c 5.3573
_cell_angle_alpha 67.00
_cell_angle_beta 67.00
_cell_angle_gamma 60.00
_space_group_name_H-M_alt 'P 1'
_space_group_IT_number 1
loop_
_space_group_symop_operation_xyz
'x,y,z'
loop_
_atom_site_label
_atom_site_fract_x
_atom_site_fract_y
_atom_site_fract_z
_atom_site_occupancy
Ir1 0.5000 0.5000 0.5000 1
Co1 0.8105 0.8105 0.5686 1
Co2 0.1895 0.1895 0.4314 1
Pm1 0.0000 0.0000 0.0000 1
# E_tot ... -7.155 eV per atom
# Space group ... No. 166
# Theoretical density ... 10.4 g/cm3
# V ... 18.14 Å³/atom



# 16
# PBE-GGA La3CuPb, optimized geometry
data_La3CuPb
_cell_length_a 5.5584
_cell_length_b 5.5584
_cell_length_c 5.5584
_cell_angle_alpha 90.00
_cell_angle_beta 90.00
_cell_angle_gamma 90.00
_space_group_name_H-M_alt 'P 1'
_space_group_IT_number 1
loop_
_space_group_symop_operation_xyz
'x,y,z'
loop_
_atom_site_label
_atom_site_fract_x
_atom_site_fract_y
_atom_site_fract_z
_atom_site_occupancy
Pb1 0.5000 0.5000 0.5000 1
Cu1 0.0000 0.0000 0.0000 1
La1 0.0000 0.5000 0.0000 1
La2 0.0000 0.0000 0.5000 1
La3 0.5000 0.0000 0.0000 1
# E_tot ... -4.646 eV per atom
# E above lowest polymorph ... 0.0 meV per atom
# Space group ... No. 221
# Theoretical density ... 6.6 g/cm3
# V ... 34.35 Å³/atom



# 17
# PBE-GGA InSiMo2, optimized geometry
data_InSiMo2
_cell_length_a 4.5014
_cell_length_b 4.5014
_cell_length_c 3.1928
_cell_angle_alpha 90.00
_cell_angle_beta 90.00
_cell_angle_gamma 90.09
_space_group_name_H-M_alt 'P 1'
_space_group_IT_number 1
loop_
_space_group_symop_operation_xyz
'x,y,z'
loop_
_atom_site_label
_atom_site_fract_x
_atom_site_fract_y
_atom_site_fract_z
_atom_site_occupancy
In1 0.0000 0.5000 0.5000 1
Mo1 0.0000 0.0000 0.0000 1
Mo2 0.5000 0.5000 0.0000 1
Si1 0.5000 0.0000 0.5000 1
# E_tot ... -7.088 eV per atom
# E above lowest polymorph ... 328.8 meV per atom
# Space group ... No. 65
# Theoretical density ... 8.6 g/cm3
# V ... 16.17 Å³/atom



# 18
# PBE-GGA CaTe2Rh2, optimized geometry
data_CaTe2Rh2
_cell_length_a 4.1984
_cell_length_b 4.1984
_cell_length_c 7.1063
_cell_angle_alpha 72.82
_cell_angle_beta 72.82
_cell_angle_gamma 90.00
_space_group_name_H-M_alt 'P 1'
_space_group_IT_number 1
loop_
_space_group_symop_operation_xyz
'x,y,z'
loop_
_atom_site_label
_atom_site_fract_x
_atom_site_fract_y
_atom_site_fract_z
_atom_site_occupancy
Ca1 0.0000 0.0000 0.0000 1
Te1 0.3746 0.3746 0.2508 1
Te2 0.6254 0.6254 0.7492 1
Rh1 0.7500 0.2500 0.5000 1
Rh2 0.2500 0.7500 0.5000 1
# E_tot ... -5.135 eV per atom
# E above lowest polymorph ... 0.0 meV per atom
# Space group ... No. 139
# Theoretical density ... 7.3 g/cm3
# V ... 22.76 Å³/atom



# 19
# PBE-GGA ZrZnI2Cl, optimized geometry
data_ZrZnI2Cl
_cell_length_a 5.5680
_cell_length_b 5.5680
_cell_length_c 5.6625
_cell_angle_alpha 90.00
_cell_angle_beta 90.00
_cell_angle_gamma 90.00
_space_group_name_H-M_alt 'P 1'
_space_group_IT_number 1
loop_
_space_group_symop_operation_xyz
'x,y,z'
loop_
_atom_site_label
_atom_site_fract_x
_atom_site_fract_y
_atom_site_fract_z
_atom_site_occupancy
I1 0.0000 0.5000 0.0000 1
I2 0.5000 0.0000 0.0000 1
Zn1 0.0000 0.0000 0.5000 1
Zr1 0.0000 0.0000 0.0000 1
Cl1 0.5000 0.5000 0.5000 1
# E_tot ... -3.145 eV per atom
# Space group ... No. 123
# Theoretical density ... 4.2 g/cm3
# V ... 35.11 Å³/atom



# 20
# PBE-GGA Li2CaCr, optimized geometry
data_Li2CaCr
_cell_length_a 10.3463
_cell_length_b 10.3463
_cell_length_c 10.3463
_cell_angle_alpha 18.80
_cell_angle_beta 18.80
_cell_angle_gamma 18.80
_space_group_name_H-M_alt 'P 1'
_space_group_IT_number 1
loop_
_space_group_symop_operation_xyz
'x,y,z'
loop_
_atom_site_label
_atom_site_fract_x
_atom_site_fract_y
_atom_site_fract_z
_atom_site_occupancy
Ca1 0.2500 0.2500 0.2500 1
Cr1 0.7500 0.7500 0.7500 1
Li1 0.0104 0.0104 0.0104 1
Li2 0.4896 0.4896 0.4896 1
# E_tot ... -3.305 eV per atom
# E above lowest polymorph ... 155.7 meV per atom
# Space group ... No. 166
# Theoretical density ... 1.8 g/cm3
# V ... 25.13 Å³/atom